Computed, not measured: KSr2CaCu after structural relaxation at the GGA-PBE level of DFT.

The structure in CIF format:
```
data_KSr2CaCu
_symmetry_space_group_name_H-M 'P 4/m m m'
_symmetry_Int_Tables_number 123
_symmetry_space_group_name_Hall '-P 4 2'
_cell_length_a 6.196
_cell_length_b 6.196
_cell_length_c 5.896
_cell_angle_alpha 90.00
_cell_angle_beta 90.00
_cell_angle_gamma 90.00
loop_
_atom_site_label
_atom_site_fract_x
_atom_site_fract_y
_atom_site_fract_z
K1 0.000 0.000 0.000
Sr1 0.000 0.500 0.500
Ca1 0.500 0.500 0.000
Cu1 0.500 0.500 0.500
```

Uncorrected energy (eV/atom): -2.084
Density of states at the Fermi level (states/eV/f.u.): 2.9
M_tot (μB per cell): 0.00
Calculated formation energy (eV per atom): 0.03

Computed, not measured: KSr2CaCu after structural relaxation at the GGA-PBE level of DFT.

The structure in CIF format:
```
data_KSr2CaCu
_symmetry_space_group_name_H-M 'P 4/m m m'
_symmetry_Int_Tables_number 123
_symmetry_space_group_name_Hall '-P 4 2'
_cell_length_a 6.089
_cell_length_b 6.089
_cell_length_c 6.303
_cell_angle_alpha 90.00
_cell_angle_beta 90.00
_cell_angle_gamma 90.00
loop_
_atom_site_label
_atom_site_fract_x
_atom_site_fract_y
_atom_site_fract_z
K1 0.000 0.000 0.000
Sr1 0.000 0.500 0.500
Ca1 0.500 0.500 0.000
Cu1 0.000 0.000 0.500
```

Uncorrected energy (eV/atom): -1.951
Density of states at the Fermi level (states/eV/f.u.): 4.4
M_tot (μB per cell): 0.00
Calculated formation energy (eV per atom): 0.16

Computed, not measured: KCa2TaCu after structural relaxation at the GGA-PBE level of DFT.

The structure in CIF format:
```
data_KCa2TaCu
_symmetry_space_group_name_H-M 'P 4/m m m'
_symmetry_Int_Tables_number 123
_symmetry_space_group_name_Hall '-P 4 2'
_cell_length_a 5.364
_cell_length_b 5.364
_cell_length_c 4.995
_cell_angle_alpha 90.00
_cell_angle_beta 90.00
_cell_angle_gamma 90.00
loop_
_atom_site_label
_atom_site_fract_x
_atom_site_fract_y
_atom_site_fract_z
K1 0.000 0.000 0.000
Ca1 0.000 0.500 0.000
Ta1 0.000 0.000 0.500
Cu1 0.500 0.500 0.500
```

Uncorrected energy (eV/atom): -2.206
Density of states at the Fermi level (states/eV/f.u.): 5.1
M_tot (μB per cell): 0.05
Calculated formation energy (eV per atom): 2.00

Computed, not measured: KCaCuTc2 after structural relaxation at the GGA-PBE level of DFT.

The structure in CIF format:
```
data_KCaCuTc2
_symmetry_space_group_name_H-M 'P 4/m m m'
_symmetry_Int_Tables_number 123
_symmetry_space_group_name_Hall '-P 4 2'
_cell_length_a 4.840
_cell_length_b 4.840
_cell_length_c 5.326
_cell_angle_alpha 90.00
_cell_angle_beta 90.00
_cell_angle_gamma 90.00
loop_
_atom_site_label
_atom_site_fract_x
_atom_site_fract_y
_atom_site_fract_z
K1 0.000 0.000 0.000
Ca1 0.500 0.500 0.000
Cu1 0.500 0.500 0.500
Tc1 0.000 0.500 0.500
```

Uncorrected energy (eV/atom): -4.320
Density of states at the Fermi level (states/eV/f.u.): 5.5
M_tot (μB per cell): 4.68
Calculated formation energy (eV per atom): 1.27

Computed, not measured: KCaCuTe2 after structural relaxation at the GGA-PBE level of DFT.

The structure in CIF format:
```
data_KCaCuTe2
_symmetry_space_group_name_H-M 'P 4/m m m'
_symmetry_Int_Tables_number 123
_symmetry_space_group_name_Hall '-P 4 2'
_cell_length_a 5.564
_cell_length_b 5.564
_cell_length_c 4.961
_cell_angle_alpha 90.00
_cell_angle_beta 90.00
_cell_angle_gamma 90.00
loop_
_atom_site_label
_atom_site_fract_x
_atom_site_fract_y
_atom_site_fract_z
K1 0.000 0.000 0.000
Ca1 0.500 0.500 0.000
Cu1 0.000 0.000 0.500
Te1 0.000 0.500 0.500
```

Uncorrected energy (eV/atom): -3.049
Density of states at the Fermi level (states/eV/f.u.): 1.6
Raw formation energy (meV/atom): -352.9
M_tot (μB per cell): 0.00

Computed, not measured: KCa2ZnCu after structural relaxation at the GGA-PBE level of DFT.

The structure in CIF format:
```
data_KCa2ZnCu
_symmetry_space_group_name_H-M 'P 4/m m m'
_symmetry_Int_Tables_number 123
_symmetry_space_group_name_Hall '-P 4 2'
_cell_length_a 5.758
_cell_length_b 5.758
_cell_length_c 4.881
_cell_angle_alpha 90.00
_cell_angle_beta 90.00
_cell_angle_gamma 90.00
loop_
_atom_site_label
_atom_site_fract_x
_atom_site_fract_y
_atom_site_fract_z
K1 0.000 0.000 0.000
Ca1 0.000 0.500 0.500
Zn1 0.500 0.500 0.000
Cu1 0.500 0.500 0.500
```

Uncorrected energy (eV/atom): -2.004
Density of states at the Fermi level (states/eV/f.u.): 3.8
M_tot (μB per cell): 0.00
Calculated formation energy (eV per atom): 0.09

Computed, not measured: CaLaCu2 after structural relaxation at the GGA-PBE level of DFT.

The structure in CIF format:
```
data_CaLaCu2
_symmetry_space_group_name_H-M 'I m m 2'
_symmetry_Int_Tables_number 44
_symmetry_space_group_name_Hall 'I 2 -2'
_cell_length_a 3.523
_cell_length_b 4.893
_cell_length_c 10.746
_cell_angle_alpha 90.00
_cell_angle_beta 90.00
_cell_angle_gamma 90.00
loop_
_atom_site_label
_atom_site_fract_x
_atom_site_fract_y
_atom_site_fract_z
Ca1 0.000 0.000 0.000
La1 0.000 0.500 0.207
Cu1 0.000 0.000 0.450
Cu2 0.000 0.500 0.786
```

Uncorrected energy (eV/atom): -3.788
Density of states at the Fermi level (states/eV/f.u.): 3.6
M_tot (μB per cell): 0.00
Calculated formation energy (eV per atom): -0.01

Computed, not measured: Ca2LaCu after structural relaxation at the GGA-PBE level of DFT.

The structure in CIF format:
```
data_Ca2LaCu
_symmetry_space_group_name_H-M 'P 4/m m m'
_symmetry_Int_Tables_number 123
_symmetry_space_group_name_Hall '-P 4 2'
_cell_length_a 4.691
_cell_length_b 4.691
_cell_length_c 5.567
_cell_angle_alpha 90.00
_cell_angle_beta 90.00
_cell_angle_gamma 90.00
loop_
_atom_site_label
_atom_site_fract_x
_atom_site_fract_y
_atom_site_fract_z
Ca1 0.000 0.500 0.000
La1 0.000 0.000 0.500
Cu1 0.500 0.500 0.500
```

Uncorrected energy (eV/atom): -3.088
Density of states at the Fermi level (states/eV/f.u.): 2.7
M_tot (μB per cell): 0.00
Calculated formation energy (eV per atom): 0.17